(1)
Crystalline FeCoC3 at its relaxed geometry, computed with GGA-PBE.

Results
V (Å³ per atom): 9.6
D(E_F) (states/eV/f.u.): 7.74
Polymorph energy (0 for the lowest one) (meV per atom): 224
Electronic total energy (eV per atom): -6.33
E_form (eV per atom): 2.318
Magnetic moment (μB/atom): 0.00

abc: 3.641 3.641 3.641
angles: 90.00 90.00 90.00
Positions (direct):
C  0.000  0.000  0.500
C  0.000  0.500  0.000
C  0.500  0.000  0.000
Co  0.000  0.000  0.000
Fe  0.500  0.500  0.500

(2)
Crystalline FeCoC2 at its relaxed geometry, computed with GGA-PBE.

Results
V (Å³ per atom): 9.7
D(E_F) (states/eV/f.u.): 4.10
Polymorph energy (0 for the lowest one) (meV per atom): 0
Electronic total energy (eV per atom): -7.96
E_form (eV per atom): 0.548
Magnetic moment (μB/atom): 0.00

abc: 4.271 4.271 5.217
angles: 65.84 65.84 90.00
Positions (direct):
Co  0.750  0.250  0.500
Co  0.000  0.000  0.000
C  0.875  0.870  0.750
C  0.375  0.380  0.750
C  0.620  0.125  0.250
C  0.130  0.625  0.250
Fe  0.500  0.500  0.000
Fe  0.250  0.750  0.500

(3)
Crystalline FeCo2C at its relaxed geometry, computed with GGA-PBE.

Results
V (Å³ per atom): 10.2
D(E_F) (states/eV/f.u.): 4.46
Electronic total energy (eV per atom): -7.66
E_form (eV per atom): 0.316
Magnetic moment (μB/atom): 0.98

abc: 6.192 6.192 4.867
angles: 50.50 50.50 90.00
Positions (direct):
Fe  0.000  0.000  0.000
Fe  0.750  0.250  0.500
C  0.500  0.500  0.000
C  0.250  0.750  0.500
Co  0.519  0.125  0.250
Co  0.231  0.625  0.250
Co  0.875  0.769  0.750
Co  0.375  0.481  0.750

(4)
Crystalline FeCo2C at its relaxed geometry, computed with GGA-PBE.

Results
V (Å³ per atom): 10.2
D(E_F) (states/eV/f.u.): 3.46
Electronic total energy (eV per atom): -7.70
E_form (eV per atom): 0.271
Magnetic moment (μB/atom): 0.99

abc: 2.742 2.742 6.461
angles: 77.75 77.75 60.00
Positions (direct):
C  0.000  0.000  0.000
Fe  0.500  0.500  0.500
Co  0.722  0.722  0.833
Co  0.278  0.278  0.167

(5)
Crystalline FeCoC3 at its relaxed geometry, computed with GGA-PBE.

Results
V (Å³ per atom): 9.8
D(E_F) (states/eV/f.u.): 4.35
Polymorph energy (0 for the lowest one) (meV per atom): 0
Electronic total energy (eV per atom): -6.55
E_form (eV per atom): 2.094
Magnetic moment (μB/atom): 0.00

abc: 3.658 3.658 3.658
angles: 90.00 90.00 90.00
Positions (direct):
C  0.500  0.000  0.000
C  0.000  0.000  0.500
C  0.000  0.500  0.000
Co  0.500  0.500  0.500
Fe  0.000  0.000  0.000

(6)
Crystalline FeCoC2 at its relaxed geometry, computed with GGA-PBE.

Results
V (Å³ per atom): 7.6
D(E_F) (states/eV/f.u.): 4.16
Polymorph energy (0 for the lowest one) (meV per atom): 559
Electronic total energy (eV per atom): -7.40
E_form (eV per atom): 1.107
Magnetic moment (μB/atom): 0.16

abc: 3.507 3.507 3.507
angles: 60.00 60.00 60.00
Positions (direct):
Fe  0.000  0.000  0.000
C  0.750  0.750  0.750
C  0.250  0.250  0.250
Co  0.500  0.500  0.500

(7)
Crystalline Sm2Ga2Fe12Co3C at its relaxed geometry, computed with GGA-PBE.

Results
V (Å³ per atom): 13.4
D(E_F) (states/eV/f.u.): 15.10
Electronic total energy (eV per atom): -7.46
E_form (eV per atom): -0.077
Magnetic moment (μB/atom): 1.52

abc: 6.502 6.502 6.473
angles: 82.95 82.95 82.92
Positions (direct):
Fe  0.999  0.704  0.294
Fe  0.339  0.846  0.342
Fe  0.296  0.001  0.706
Fe  0.345  0.345  0.849
Fe  0.655  0.655  0.151
Fe  0.846  0.339  0.342
Fe  0.286  0.714  0.000
Fe  0.001  0.296  0.706
Fe  0.154  0.661  0.658
Fe  0.661  0.154  0.658
Fe  0.714  0.286  0.000
Fe  0.704  0.999  0.294
Co  0.000  0.500  0.000
Co  0.500  0.000  0.000
Co  0.000  0.000  0.500
Ga  0.896  0.896  0.898
Ga  0.104  0.104  0.102
Sm  0.345  0.345  0.358
Sm  0.655  0.655  0.642
C  0.500  0.500  0.000

(8)
Crystalline FeCo2GeC at its relaxed geometry, computed with GGA-PBE.

Results
V (Å³ per atom): 10.6
D(E_F) (states/eV/f.u.): 3.11
Electronic total energy (eV per atom): -7.27
E_form (eV per atom): 0.037
Magnetic moment (μB/atom): 0.01

abc: 3.751 3.751 3.754
angles: 90.00 90.00 90.00
Positions (direct):
Co  0.500  0.000  0.000
Co  0.000  0.500  0.000
Ge  0.500  0.500  0.500
Fe  0.000  0.000  0.500
C  0.000  0.000  0.000

(9)
Crystalline Fe2Co4Ge2C at its relaxed geometry, computed with GGA-PBE.

Results
V (Å³ per atom): 10.7
D(E_F) (states/eV/f.u.): 7.81
Electronic total energy (eV per atom): -7.15
E_form (eV per atom): -0.063
Magnetic moment (μB/atom): 0.16

abc: 5.159 5.159 5.159
angles: 89.03 120.56 120.56
Positions (direct):
Co  0.516  0.258  0.258
Co  0.484  0.742  0.742
Co  0.000  0.742  0.258
Co  0.000  0.258  0.742
Ge  0.500  0.250  0.750
Ge  0.500  0.750  0.250
Fe  0.000  0.254  0.254
Fe  0.000  0.746  0.746
C  0.000  0.000  0.000

(10)
Crystalline HfFe2CoC at its relaxed geometry, computed with GGA-PBE.

Results
V (Å³ per atom): 11.2
D(E_F) (states/eV/f.u.): 1.86
Electronic total energy (eV per atom): -8.91
E_form (eV per atom): -0.264
Magnetic moment (μB/atom): 0.21

abc: 3.837 3.837 3.809
angles: 90.00 90.00 90.00
Positions (direct):
Fe  0.500  0.000  0.000
Fe  0.000  0.500  0.000
Hf  0.500  0.500  0.500
C  0.000  0.000  0.000
Co  0.000  0.000  0.500

(11)
Crystalline K2FeCoC6N6 at its relaxed geometry, computed with GGA-PBE.

Results
V (Å³ per atom): 16.0
D(E_F) (states/eV/f.u.): 6.27
Electronic total energy (eV per atom): -7.71
Magnetic moment (μB/atom): 0.06

abc: 7.123 7.123 7.123
angles: 60.00 60.00 60.00
Positions (direct):
C  0.187  0.813  0.813
C  0.187  0.187  0.813
C  0.813  0.187  0.813
C  0.813  0.813  0.187
C  0.813  0.187  0.187
C  0.187  0.813  0.187
K  0.750  0.750  0.750
K  0.250  0.250  0.250
N  0.304  0.696  0.304
N  0.696  0.304  0.304
N  0.696  0.696  0.304
N  0.696  0.304  0.696
N  0.304  0.696  0.696
N  0.304  0.304  0.696
Fe  0.000  0.000  0.000
Co  0.500  0.500  0.500

(12)
Crystalline LaFe2CoC at its relaxed geometry, computed with GGA-PBE.

Results
V (Å³ per atom): 19.1
D(E_F) (states/eV/f.u.): 6.99
Electronic total energy (eV per atom): -4.77
E_form (eV per atom): 2.869
Magnetic moment (μB/atom): 1.11

abc: 4.607 4.499 4.607
angles: 90.00 90.00 90.00
Positions (direct):
Co  0.000  0.500  0.000
La  0.000  0.000  0.000
Fe  0.000  0.000  0.500
Fe  0.500  0.000  0.000
C  0.500  0.500  0.500